Run A
{
  "formula": "SmNpP2",
  "functional": "PBE",
  "state": "relaxed",
  "rho_g_cm3": 7.90,
  "volume_a3_per_fu": 94,
  "lattice": [[3.9875, 0.0000, 0.0000], [1.9938, 3.4533, 0.0000], [1.9938, 1.1511, 6.8607]],
  "species": ["Sm", "Np", "P", "P"],
  "frac_coords": [[0.4970, 0.4970, 0.5090], [0.6692, 0.6692, 0.9923], [0.0784, 0.0784, 0.7648], [0.2554, 0.2554, 0.2339]]
}

---

Run B
{
  "formula": "SmNpP2",
  "functional": "PBE",
  "state": "relaxed",
  "rho_g_cm3": 8.07,
  "volume_a3_per_fu": 92,
  "lattice": [[4.0236, 0.0000, 0.0000], [2.0118, 3.4845, 0.0000], [2.0118, 1.1615, 6.5936]],
  "species": ["Np", "P", "P", "Sm"],
  "frac_coords": [[0.0000, 0.0000, 0.0000], [0.2546, 0.2546, 0.2362], [0.7454, 0.7454, 0.7638], [0.5000, 0.5000, 0.5000]]
}

---

Least stable of them? run A.

---

Run A
{
  "formula": "Np2TeP",
  "functional": "PBE",
  "state": "relaxed",
  "rho_g_cm3": 10.03,
  "volume_a3_per_fu": 105,
  "lattice": [[4.1302, 0.0000, 0.0000], [-2.0651, 3.5768, 0.0000], [0.0000, 0.0000, 14.1840]],
  "species": ["Np", "Np", "Np", "Np", "Te", "Te", "P", "P"],
  "frac_coords": [[0.3333, 0.6667, 0.3958], [0.6667, 0.3333, 0.8958], [0.6667, 0.3333, 0.6042], [0.3333, 0.6667, 0.1042], [0.6667, 0.3333, 0.2500], [0.3333, 0.6667, 0.7500], [0.0000, 0.0000, 0.5000], [0.0000, 0.0000, 0.0000]]
}

---

Run B
{
  "formula": "Np2TeP",
  "functional": "PBE",
  "state": "relaxed",
  "rho_g_cm3": 10.15,
  "volume_a3_per_fu": 103,
  "lattice": [[4.1614, 0.0000, 0.0000], [2.0807, 3.6039, 0.0000], [2.0807, 1.2013, 6.8982]],
  "species": ["Np", "Np", "P", "Te"],
  "frac_coords": [[0.7626, 0.7626, 0.7122], [0.2374, 0.2374, 0.2878], [0.5000, 0.5000, 0.5000], [0.0000, 0.0000, 0.0000]]
}

---

Least stable of them? run A.

---

Run A
{
  "formula": "NpTlP2",
  "functional": "PBE",
  "state": "relaxed",
  "rho_g_cm3": 8.02,
  "volume_a3_per_fu": 104,
  "lattice": [[-2.0157, -3.3507, -1.0918], [1.7254, -2.6773, -2.5174], [2.7241, -5.5704, 4.5178]],
  "species": ["Np", "P", "P", "Tl"],
  "frac_coords": [[0.0000, 0.0000, 0.0000], [0.2726, 0.2726, 0.1822], [0.7274, 0.7274, 0.8178], [0.5000, 0.5000, 0.5000]]
}

---

Run B
{
  "formula": "NpTlP2",
  "functional": "PBE",
  "state": "relaxed",
  "rho_g_cm3": 8.61,
  "volume_a3_per_fu": 97,
  "lattice": [[4.1521, 0.0000, 0.0000], [2.0760, 3.5958, 0.0000], [2.0760, 1.1986, 6.4987]],
  "species": ["Np", "Tl", "P", "P"],
  "frac_coords": [[0.6650, 0.6650, 0.0049], [0.4942, 0.4942, 0.5174], [0.0679, 0.0679, 0.7962], [0.2728, 0.2728, 0.1815]]
}

---

Least stable of them? run A.

---

Run A
{
  "formula": "NpUP2",
  "functional": "PBE",
  "state": "relaxed",
  "rho_g_cm3": 10.04,
  "volume_a3_per_fu": 89,
  "lattice": [[3.8371, 0.0000, 0.0000], [1.9185, 3.3230, 0.0000], [1.9185, 1.1077, 6.9622]],
  "species": ["Np", "U", "P", "P"],
  "frac_coords": [[0.6687, 0.6687, 0.9939], [0.4983, 0.4983, 0.5052], [0.0823, 0.0823, 0.7532], [0.2508, 0.2508, 0.2477]]
}

---

Run B
{
  "formula": "NpUP2",
  "functional": "PBE",
  "state": "relaxed",
  "rho_g_cm3": 10.23,
  "volume_a3_per_fu": 87,
  "lattice": [[-5.4857, -0.9256, -0.5235], [-0.0940, -2.3179, 5.0835], [-2.1172, 9.9943, 4.5155]],
  "species": ["Np", "Np", "Np", "Np", "U", "U", "U", "U", "P", "P", "P", "P", "P", "P", "P", "P"],
  "frac_coords": [[0.2497, 0.5000, 0.6250], [0.7503, 0.5000, 0.3750], [0.2497, 0.0000, 0.8750], [0.7503, 0.0000, 0.1250], [0.2503, 0.0000, 0.3750], [0.7497, 0.0000, 0.6250], [0.2503, 0.5000, 0.1250], [0.7497, 0.5000, 0.8750], [0.7497, 0.0001, 0.8747], [0.2503, 0.9999, 0.1253], [0.7497, 0.4999, 0.6253], [0.2503, 0.5001, 0.3747], [0.7503, 0.5000, 0.1247], [0.2497, 0.5000, 0.8753], [0.7503, 0.0000, 0.3753], [0.2497, 0.0000, 0.6247]]
}

---

Least stable of them? run A.